In3Re | PBE | relaxed

```
4
Lattice="-4.0534 -1.2902 -0.7620 1.4981 -3.5346 -1.9843 -0.0308 -2.1254 3.7626" Properties=species:S:1:pos:R:3 pbc="T T T"
In -2.0421 -1.7078 1.5003
In -1.2776 -2.4124 -1.3732
In 0.7336 -2.8300 0.8891
Re 0.0000 0.0000 0.0000
```

## Properties
M_tot: 0.0 μB per cell
raw total energy: -4.46 eV/atom
DOS at the Fermi energy: 1.064 states/eV/atom